[1]
First-principles (GGA-PBE) data for K2Na2Zn after structural relaxation, as listed in Alexandria.

Structure (POSCAR):
```
K2Na2Zn
1.0
5.6284 0.0000 0.0000
0.0000 5.6284 0.0000
0.0000 0.0000 17.4751
K Na Zn
4 4 2
Cartesian
0.0000 2.8142 4.3688
0.0000 2.8142 13.1063
2.8142 0.0000 4.3688
2.8142 0.0000 13.1063
0.0000 0.0000 1.5654
0.0000 0.0000 15.9097
2.8142 2.8142 7.1721
2.8142 2.8142 10.3030
0.0000 0.0000 8.7376
2.8142 2.8142 0.0000
```

Properties
D(E_F) ... 4.0 states/eV/cell
Space-group type ... No. 139
Crystal system ... tetragonal
Calculated formation energy ... 0.3256 eV/atom

---

[2]
First-principles (GGA-PBE) data for Tl2SbCl3O after structural relaxation, as listed in Alexandria.

Structure (POSCAR):
```
Tl2SbCl3O
1.0
4.2085 0.0000 0.0000
0.0000 5.5611 0.0000
0.0000 0.0000 17.0494
Tl Sb Cl O
4 2 6 2
Cartesian
0.0000 0.0000 2.5261
0.0000 0.0000 14.5233
2.1043 2.7805 5.9986
2.1043 2.7805 11.0508
0.0000 0.0000 8.5247
2.1043 2.7805 0.0000
0.0000 0.0000 5.6923
0.0000 0.0000 11.3571
0.0000 2.7805 8.5247
2.1043 0.0000 0.0000
2.1043 2.7805 2.8324
2.1043 2.7805 14.2170
0.0000 2.7805 0.0000
2.1043 0.0000 8.5247
```

Properties
Formation energy without anion corrections ... -606 kJ/mol of formula units
D(E_F) ... 0.6 states/eV/cell
Space-group type ... No. 71
Crystal system ... orthorhombic

---

[3]
First-principles (GGA-PBE) data for DyBe2Pd5 after structural relaxation, as listed in Alexandria.

Structure (POSCAR):
```
DyBe2Pd5
1.0
3.8753 0.0000 0.0000
0.0000 6.3238 0.0000
0.0000 0.0000 9.9848
Dy Be Pd
2 4 10
Cartesian
0.0000 0.0000 0.0000
1.9376 3.1619 4.9924
0.0000 3.1619 2.2106
0.0000 3.1619 7.7742
1.9376 0.0000 2.7818
1.9376 0.0000 7.2030
0.0000 1.3609 3.5188
0.0000 1.3609 6.4660
0.0000 3.1619 0.0000
0.0000 4.9629 3.5188
0.0000 4.9629 6.4660
1.9376 0.0000 4.9924
1.9376 1.8010 1.4736
1.9376 1.8010 8.5111
1.9376 4.5228 1.4736
1.9376 4.5228 8.5111
```

Properties
D(E_F) ... 1.6 states/eV/cell
Space-group type ... No. 71
Crystal system ... orthorhombic
Calculated formation energy ... -0.6368 eV/atom